## P
Tb2GdMg | PBE | optimized geometry

It has space group Fm-3m (No. 225), with a = 7.803 Å, b = 7.803 Å, c = 7.803 Å, α = 90.00°, β = 90.00° and γ = 90.00°. The inequivalent atoms are Tb at (0.250, 0.250, 0.250), Gd at (0.000, 0.000, 0.000) and Mg at (0.000, 0.000, 0.500).

As for the total magnetization: 30.33 μB/cell.

## Q
Tb2GdMg | PBE | optimized geometry

It has space group R-3m (No. 166, hexagonal axes), with a = 3.4463 Å, b = 3.4463 Å, c = 36.8899 Å, α = 90.00°, β = 90.00° and γ = 120.00°. The inequivalent atoms are Tb at (0.0000, 0.0000, 0.0889), Gd at (0.0000, 0.0000, 0.5000) and Mg at (0.0000, 0.0000, 0.0000).

As for the total magnetization: 21.19 μB/cell.

Which structure is most stable? P, by 149 meV per atom over the runner-up.

## P
TbGdMg | PBE | optimized geometry

It has space group P3m1 (No. 156), with a = 5.4633 Å, b = 5.4633 Å, c = 3.3887 Å, α = 90.00°, β = 90.00° and γ = 120.00°. The inequivalent atoms are Tb at (0.0000, 0.0000, 0.0000), Gd at (0.3333, 0.6667, 0.5818) and Mg at (0.6667, 0.3333, 0.2902).

As for the total magnetization: 7.38 μB/cell.

## Q
TbGdMg | PBE | optimized geometry

It has space group I4mm (No. 107), with a = 3.690 Å, b = 3.690 Å, c = 12.934 Å, α = 90.00°, β = 90.00° and γ = 90.00°. The inequivalent atoms are Tb at (0.000, 0.000, 0.000), Gd at (0.000, 0.000, 0.319) and Mg at (0.000, 0.000, 0.657).

As for the total magnetization: 15.37 μB/cell.

Which structure is most stable? Q, by 88 meV per atom over the runner-up.

## P
Gd2MgTi | PBE | optimized geometry

It has space group R-3m (No. 166, hexagonal axes), with a = 3.2330 Å, b = 3.2330 Å, c = 35.0919 Å, α = 90.00°, β = 90.00° and γ = 120.00°. The inequivalent atoms are Gd at (0.0000, 0.0000, 0.0842), Mg at (0.0000, 0.0000, 0.5000) and Ti at (0.0000, 0.0000, 0.0000).

As for the total magnetization: 49.90 μB/cell.

## Q
Gd2MgTi | PBE | optimized geometry

It has space group P4/mmm (No. 123), with a = 5.217 Å, b = 5.217 Å, c = 3.859 Å, α = 90.00°, β = 90.00° and γ = 90.00°. The inequivalent atoms are Gd at (0.000, 0.500, 0.000), Mg at (0.000, 0.000, 0.500) and Ti at (0.500, 0.500, 0.500).

As for the total magnetization: 16.79 μB/cell.

Which structure is most stable? Q, by 259 meV per atom over the runner-up.

## P
GdMg2Tl | PBE | optimized geometry

It has space group Fm-3m (No. 225), with a = 7.356 Å, b = 7.356 Å, c = 7.356 Å, α = 90.00°, β = 90.00° and γ = 90.00°. The inequivalent atoms are Gd at (0.000, 0.000, 0.000), Mg at (0.250, 0.250, 0.250) and Tl at (0.000, 0.000, 0.500).

As for the total magnetization: 28.72 μB/cell.

## Q
GdMg2Tl | PBE | optimized geometry

It has space group P4/mmm (No. 123), with a = 3.634 Å, b = 3.634 Å, c = 7.922 Å, α = 90.00°, β = 90.00° and γ = 90.00°. The inequivalent atoms are Gd at (0.000, 0.000, 0.000), Mg at (0.500, 0.500, 0.275) and Tl at (0.000, 0.000, 0.500).

As for the total magnetization: 7.74 μB/cell.

Which structure is most stable? Q, by 38 meV per atom over the runner-up.

## P
Gd2TmMg | PBE | optimized geometry

It has space group P4/mmm (No. 123), with a = 4.972 Å, b = 4.972 Å, c = 4.824 Å, α = 90.00°, β = 90.00° and γ = 90.00°. The inequivalent atoms are Gd at (0.000, 0.500, 0.000), Tm at (0.000, 0.000, 0.500) and Mg at (0.500, 0.500, 0.500).

As for the total magnetization: 15.91 μB/cell.

## Q
Gd2TmMg | PBE | optimized geometry

It has space group R-3m (No. 166, hexagonal axes), with a = 3.4352 Å, b = 3.4352 Å, c = 36.7113 Å, α = 90.00°, β = 90.00° and γ = 120.00°. The inequivalent atoms are Gd at (0.0000, 0.0000, 0.0895), Tm at (0.0000, 0.0000, 0.5000) and Mg at (0.0000, 0.0000, 0.0000).

As for the total magnetization: 43.72 μB/cell.

Which structure is most stable? P, by 183 meV per atom over the runner-up.

## P
Gd2TmMg | PBE | optimized geometry

It has space group Fm-3m (No. 225), with a = 7.774 Å, b = 7.774 Å, c = 7.774 Å, α = 90.00°, β = 90.00° and γ = 90.00°. The inequivalent atoms are Gd at (0.250, 0.250, 0.250), Tm at (0.000, 0.000, 0.000) and Mg at (0.000, 0.000, 0.500).

As for the total magnetization: 59.35 μB/cell.

## Q
Gd2TmMg | PBE | optimized geometry

It has space group P4/mmm (No. 123), with a = 3.592 Å, b = 3.592 Å, c = 9.247 Å, α = 90.00°, β = 90.00° and γ = 90.00°. The inequivalent atoms are Gd at (0.000, 0.000, 0.238), Tm at (0.500, 0.500, 0.500) and Mg at (0.500, 0.500, 0.000).

As for the total magnetization: 15.02 μB/cell.

Which structure is most stable? Q, by 47 meV per atom over the runner-up.